YHg5: optimized geometry, PBE.

Unit cell a=3.945 b=3.945 c=9.756 alpha=90.00 beta=90.00 gamma=90.00
Fractional positions:
Hg: 0.000 0.000 0.500
Hg: 0.500 0.500 0.667
Hg: 0.500 0.500 0.333
Hg: 0.000 0.000 0.168
Hg: 0.000 0.000 0.832
Y: 0.500 0.500 0.000

Properties
- E_form: -0.17 eV/atom
- Crystal system: tetragonal
- Mass density: 11.943 g/cm3
- Size of the total moment: 0.0 Bohr magnetons per cell